Entry 1:
Mn2CrRu, optimized geometry, DFT GGA-PBE; energy of formation from the pure elements = 10.4 kJ per mole of atoms; calculated volume = 13.0 Å³/atom; DFT total energy = -36.81 eV per formula unit
1.0
4.909 0.037 0.002
2.213 4.383 -0.002
-3.126 -2.910 2.421
Cr Ru Mn
1 1 2
Direct
0.245 0.745 0.500
0.491 0.491 0.000
0.751 0.251 0.500
0.012 0.012 0.000

***

Entry 2:
KNiAg2, optimized geometry, DFT GGA-PBE; energy of formation from the pure elements = 58.7 kJ per mole of atoms; distance to the lowest polymorph of the same formula = 0.291 eV/atom; calculated volume = 20.7 Å³/atom; DFT total energy = -10.15 eV per formula unit
1.0
4.890 0.000 0.000
2.445 4.235 0.000
2.445 1.412 3.992
K Ni Ag
1 1 2
Direct
0.500 0.500 0.500
0.750 0.750 0.750
0.000 0.000 0.000
0.250 0.250 0.250

***

Entry 3:
RbMg2Pb, optimized geometry, DFT GGA-PBE; energy of formation from the pure elements = 26.7 kJ per mole of atoms; calculated volume = 33.7 Å³/atom; DFT total energy = -6.76 eV per formula unit
1.0
-0.446 -3.053 1.814
1.612 -0.454 3.163
-9.282 3.579 7.269
Mg Pb Rb
2 1 1
Direct
0.098 0.098 0.707
0.902 0.902 0.293
0.500 0.500 0.500
0.000 0.000 0.000

***

Entry 4:
W2Au, optimized geometry, DFT GGA-PBE; energy of formation from the pure elements = 71.5 kJ per mole of atoms; distance to the lowest polymorph of the same formula = 0.376 eV/atom; calculated volume = 17.6 Å³/atom; DFT total energy = -26.96 eV per formula unit
1.0
8.429 -0.203 9.240
6.180 3.053 10.438
-8.534 -2.676 -8.745
W Au
4 2
Direct
0.417 0.417 0.000
0.167 0.667 0.500
0.583 0.583 0.000
0.333 0.833 0.500
0.750 0.250 0.500
0.000 0.000 0.000

***

Entry 5:
SrB2C2, optimized geometry, DFT GGA-PBE; energy of formation from the pure elements = 25.2 kJ per mole of atoms; calculated volume = 9.6 Å³/atom; DFT total energy = -32.18 eV per formula unit
1.0
2.962 0.000 0.000
0.000 2.962 0.000
1.481 1.481 5.451
C Sr B
2 1 2
Direct
0.331 0.331 0.337
0.669 0.669 0.663
0.000 0.000 0.000
0.750 0.250 0.500
0.250 0.750 0.500

***

Entry 6:
CaVH, optimized geometry, DFT GGA-PBE; distance to the lowest polymorph of the same formula = 1.577 eV/atom; calculated volume = 24.5 Å³/atom; DFT total energy = -10.01 eV per formula unit
1.0
0.000 3.325 3.325
3.325 0.000 3.325
3.325 3.325 0.000
H Ca V
1 1 1
Direct
0.250 0.250 0.250
0.000 0.000 0.000
0.750 0.750 0.750

***

Entry 7:
Sm4AsP2, optimized geometry, DFT GGA-PBE; energy of formation from the pure elements = -127.4 kJ per mole of atoms; calculated volume = 26.4 Å³/atom; DFT total energy = -43.59 eV per formula unit
1.0
4.090 0.000 0.000
-2.045 6.698 0.000
0.000 0.000 13.511
As Sm P
2 8 4
Direct
0.393 0.786 0.250
0.607 0.214 0.750
0.771 0.543 0.380
0.500 0.000 0.500
0.049 0.097 0.250
0.951 0.903 0.750
0.500 0.000 0.000
0.771 0.543 0.120
0.229 0.457 0.620
0.229 0.457 0.880
0.863 0.726 0.563
0.137 0.274 0.063
0.137 0.274 0.437
0.863 0.726 0.937

***

Entry 8:
LiH3Pt, optimized geometry, DFT GGA-PBE; calculated volume = 8.7 Å³/atom; DFT total energy = -19.43 eV per formula unit
1.0
-13.157 3.561 3.902
-0.159 -4.091 3.200
4.902 0.248 0.560
H Pt Li
12 4 4
Direct
0.722 0.750 0.783
0.222 0.750 0.283
0.578 0.432 0.848
0.778 0.250 0.717
0.078 0.068 0.348
0.066 0.573 0.457
0.566 0.927 0.957
0.934 0.427 0.543
0.278 0.250 0.217
0.434 0.073 0.043
0.922 0.932 0.652
0.422 0.568 0.152
0.475 0.750 0.030
0.525 0.250 0.970
0.025 0.250 0.470
0.975 0.750 0.530
0.308 0.875 0.101
0.808 0.625 0.601
0.692 0.125 0.899
0.192 0.375 0.399

***

Entry 9:
PrTh2Tl, optimized geometry, DFT GGA-PBE; energy of formation from the pure elements = 17.4 kJ per mole of atoms; distance to the lowest polymorph of the same formula = 0.273 eV/atom; calculated volume = 32.1 Å³/atom; DFT total energy = -21.26 eV per formula unit
1.0
-2.622 -2.132 0.657
0.419 -3.400 -0.340
2.878 -2.596 12.075
Th Tl Pr
2 1 1
Direct
0.909 0.909 0.274
0.091 0.091 0.726
0.500 0.500 0.500
0.000 0.000 0.000

***

Entry 10:
AlZn6Ag12, optimized geometry, DFT GGA-PBE; energy of formation from the pure elements = 5.5 kJ per mole of atoms; calculated volume = 17.6 Å³/atom; DFT total energy = -44.51 eV per formula unit
1.0
-1.062 4.926 5.067
-6.502 -0.696 -2.881
0.673 -6.017 3.796
Ag Zn Al
12 6 1
Direct
0.741 0.001 0.259
0.579 0.580 0.192
0.421 0.420 0.808
0.420 0.808 0.421
0.259 0.999 0.741
0.808 0.421 0.420
0.001 0.259 0.741
0.192 0.579 0.580
0.580 0.192 0.579
0.741 0.259 0.999
0.259 0.741 0.001
0.999 0.741 0.259
0.419 0.169 0.167
0.167 0.419 0.169
0.581 0.831 0.833
0.831 0.833 0.581
0.833 0.581 0.831
0.169 0.167 0.419
0.000 0.000 0.000

***

Entry 11:
SmDy3Tm2Sb6, optimized geometry, DFT GGA-PBE; calculated volume = 29.8 Å³/atom; energy relative to the elements, uncorrected = -1115 meV per atom; DFT total energy = -65.59 eV per formula unit
1.0
-1.593 3.765 1.582
-6.018 0.132 -6.373
-3.560 -6.675 6.230
Sb Dy Sm Tm
6 3 1 2
Direct
0.667 0.581 0.335
0.668 0.086 0.337
0.001 0.255 0.003
0.333 0.419 0.665
0.999 0.745 0.997
0.332 0.914 0.663
0.834 0.168 0.669
0.166 0.832 0.331
0.500 0.500 0.000
0.500 0.000 0.000
0.833 0.667 0.665
0.167 0.333 0.335

***

Entry 12:
Co2TcSe, optimized geometry, DFT GGA-PBE; calculated volume = 12.9 Å³/atom; energy relative to the elements, uncorrected = 307 meV per atom; DFT total energy = -26.84 eV per formula unit
1.0
-1.378 -3.949 -0.091
2.236 -2.952 -1.946
1.957 -2.951 2.229
Se Co Tc
1 2 1
Direct
0.500 0.500 0.500
0.250 0.250 0.250
0.000 0.000 0.000
0.750 0.750 0.750

***

Entry 13:
LiDy2Al3, optimized geometry, DFT GGA-PBE; energy of formation from the pure elements = -34.9 kJ per mole of atoms; distance to the lowest polymorph of the same formula = 0.032 eV/atom; calculated volume = 21.5 Å³/atom; DFT total energy = -24.52 eV per formula unit
1.0
-3.116 4.442 2.025
-1.507 -4.553 3.246
8.160 1.803 2.530
Dy Al Li
4 6 2
Direct
0.254 0.254 0.000
0.746 0.746 0.000
0.750 0.250 0.500
0.250 0.750 0.500
0.166 0.166 0.332
0.834 0.834 0.668
0.668 0.165 0.832
0.332 0.835 0.168
0.165 0.668 0.832
0.835 0.332 0.168
0.332 0.332 0.664
0.668 0.668 0.336

***

Entry 14:
Ce2Ga6Ru, optimized geometry, DFT GGA-PBE; energy of formation from the pure elements = -18.3 kJ per mole of atoms; distance to the lowest polymorph of the same formula = 0.384 eV/atom; calculated volume = 20.6 Å³/atom; DFT total energy = -41.01 eV per formula unit
1.0
3.171 0.000 0.000
0.000 8.210 0.000
0.000 -4.105 7.110
Ga Ce Ru
6 2 1
Direct
0.000 0.249 0.249
0.500 0.326 0.000
0.000 0.751 0.000
0.000 0.000 0.751
0.500 0.000 0.326
0.500 0.674 0.674
0.000 0.333 0.667
0.000 0.667 0.333
0.500 0.000 0.000

***

Entry 15:
Ce3Be2Si3, optimized geometry, DFT GGA-PBE; distance to the lowest polymorph of the same formula = 0.033 eV/atom; calculated volume = 18.7 Å³/atom; energy relative to the elements, uncorrected = -484 meV per atom; DFT total energy = -45.40 eV per formula unit
1.0
3.942 0.000 0.000
-1.971 5.449 0.000
0.000 0.000 13.965
Si Ce Be
6 6 4
Direct
0.336 0.673 0.957
0.362 0.723 0.250
0.336 0.673 0.543
0.638 0.277 0.750
0.664 0.327 0.457
0.664 0.327 0.043
0.049 0.098 0.597
0.651 0.302 0.250
0.951 0.902 0.097
0.349 0.698 0.750
0.049 0.098 0.903
0.951 0.902 0.403
0.761 0.521 0.607
0.239 0.479 0.393
0.761 0.521 0.893
0.239 0.479 0.107

***

Entry 16:
K4Ag2Au, optimized geometry, DFT GGA-PBE; energy of formation from the pure elements = -2.7 kJ per mole of atoms; distance to the lowest polymorph of the same formula = 0.000 eV/atom; calculated volume = 37.1 Å³/atom; DFT total energy = -13.57 eV per formula unit
1.0
-2.382 1.882 -4.869
2.946 -4.924 0.029
-15.266 -9.110 3.946
K Au Ag
8 2 4
Direct
0.500 0.500 0.000
0.167 0.833 0.867
0.500 0.500 0.500
0.834 0.166 0.750
0.167 0.833 0.633
0.833 0.167 0.133
0.833 0.167 0.367
0.166 0.834 0.250
0.500 0.500 0.750
0.500 0.500 0.250
0.834 0.166 0.946
0.834 0.166 0.554
0.166 0.834 0.446
0.166 0.834 0.054

***

Entry 17:
Pr8C8Cl5, optimized geometry, DFT GGA-PBE; calculated volume = 20.9 Å³/atom; energy relative to the elements, uncorrected = -955 meV per atom; DFT total energy = -141.31 eV per formula unit
1.0
17.049 0.000 0.000
0.000 6.871 -0.024
0.000 1.849 7.487
Cl Pr C
10 16 16
Direct
0.297 0.489 0.342
0.500 0.500 0.500
0.000 0.000 0.500
0.703 0.511 0.658
0.597 0.016 0.589
0.097 0.484 0.411
0.203 0.989 0.342
0.797 0.011 0.658
0.403 0.984 0.411
0.903 0.516 0.589
0.548 0.885 0.226
0.571 0.623 0.853
0.304 0.875 0.068
0.929 0.123 0.853
0.429 0.377 0.147
0.048 0.615 0.774
0.804 0.625 0.932
0.696 0.125 0.932
0.328 0.602 0.696
0.452 0.115 0.774
0.172 0.102 0.696
0.952 0.385 0.226
0.672 0.398 0.304
0.196 0.375 0.068
0.071 0.877 0.147
0.828 0.898 0.304
0.415 0.720 0.899
0.915 0.780 0.101
0.461 0.777 0.020
0.660 0.735 0.054
0.785 0.284 0.163
0.215 0.716 0.837
0.340 0.265 0.946
0.840 0.235 0.054
0.160 0.765 0.946
0.585 0.280 0.101
0.539 0.223 0.980
0.961 0.723 0.980
0.085 0.220 0.899
0.039 0.277 0.020
0.285 0.216 0.837
0.715 0.784 0.163

***

Entry 18:
ZrAl3Pd, optimized geometry, DFT GGA-PBE; energy of formation from the pure elements = 107.8 kJ per mole of atoms; distance to the lowest polymorph of the same formula = 1.093 eV/atom; calculated volume = 26.8 Å³/atom; DFT total energy = -19.38 eV per formula unit
1.0
-0.898 4.169 -2.824
-2.903 -2.772 -3.170
-4.114 1.046 2.853
Pd Al Zr
1 3 1
Direct
0.500 0.500 0.500
0.000 0.500 0.000
0.500 0.000 0.000
0.000 0.000 0.500
0.000 0.000 0.000

***

Entry 19:
TaB2Ir, optimized geometry, DFT GGA-PBE; energy of formation from the pure elements = 20.2 kJ per mole of atoms; distance to the lowest polymorph of the same formula = 0.656 eV/atom; calculated volume = 11.1 Å³/atom; DFT total energy = -33.23 eV per formula unit
1.0
-2.798 -2.172 -1.803
-3.833 0.975 0.393
-1.996 1.501 -3.092
Ta Ir B
1 1 2
Direct
0.000 0.000 0.000
0.500 0.500 0.500
0.750 0.750 0.750
0.250 0.250 0.250

***

Entry 20:
KNaCu2F8, optimized geometry, DFT GGA-PBE; calculated volume = 14.0 Å³/atom; energy relative to the elements, uncorrected = -1874 meV per atom; DFT total energy = -48.07 eV per formula unit
1.0
5.777 0.000 0.000
0.000 5.777 0.000
-2.889 -2.889 5.031
F Cu Na K
8 2 1 1
Direct
0.181 0.435 0.475
0.294 0.039 0.475
0.642 0.788 0.016
0.374 0.228 0.016
0.565 0.706 0.525
0.961 0.819 0.525
0.212 0.626 0.984
0.772 0.358 0.984
0.250 0.750 0.500
0.500 0.500 0.000
0.000 0.000 0.000
0.750 0.250 0.500

***

Entry 21:
ScTa2, optimized geometry, DFT GGA-PBE; energy of formation from the pure elements = 15.9 kJ per mole of atoms; distance to the lowest polymorph of the same formula = 0.008 eV/atom; calculated volume = 19.9 Å³/atom; DFT total energy = -29.54 eV per formula unit
1.0
-2.584 -1.014 3.987
-1.527 -1.552 -4.343
1.510 -2.467 0.351
Ta Sc
2 1
Direct
0.333 0.667 0.000
0.667 0.333 0.000
0.000 0.000 0.500

***

Entry 22:
NaZn2BSe4, optimized geometry, DFT GGA-PBE; calculated volume = 22.1 Å³/atom; energy relative to the elements, uncorrected = -578 meV per atom; DFT total energy = -29.11 eV per formula unit
1.0
6.054 0.249 0.000
-0.254 6.053 0.000
-2.900 -3.151 4.806
Zn Se Na B
2 4 1 1
Direct
0.250 0.750 0.500
0.750 0.250 0.500
0.418 0.821 0.240
0.821 0.418 0.240
0.582 0.582 0.760
0.178 0.178 0.760
0.001 0.001 0.002
0.500 0.500 0.000